First-principles (meta-GGA SCAN) data for Ba5Ge3 at its PBEsol-relaxed geometry, as listed in Alexandria.

SG: P4/ncc, No. 130
Formation enthalpy at 0 K, eV/atom: -0.57

POSCAR file:
```
Ba5Ge3
1.0
-4.9180 3.3323 5.9694
-4.5859 -7.0617 0.1639
9.9022 -6.1612 11.5976
Ba Ge
20 12
direct
0.1966 0.1663 0.3921 Ba
0.3034 0.6663 0.1079 Ba
0.8034 0.8337 0.3921 Ba
0.0000 0.5000 0.2826 Ba
0.6966 0.3337 0.1079 Ba
0.8337 0.8034 0.1079 Ba
0.5000 0.0000 0.2174 Ba
0.1663 0.1966 0.1079 Ba
0.8337 0.1966 0.6079 Ba
0.8034 0.1663 0.8921 Ba
0.5000 0.0000 0.7174 Ba
0.6663 0.6966 0.8921 Ba
0.3337 0.6966 0.3921 Ba
0.3337 0.3034 0.8921 Ba
0.1966 0.8337 0.8921 Ba
0.6663 0.3034 0.3921 Ba
0.0000 0.5000 0.7826 Ba
0.3034 0.3337 0.6079 Ba
0.1663 0.8034 0.6079 Ba
0.6966 0.6663 0.6079 Ba
0.3923 0.3923 0.2500 Ge
0.3923 0.6077 0.7500 Ge
0.6077 0.3923 0.7500 Ge
0.5000 0.0000 0.5104 Ge
0.1077 0.1077 0.7500 Ge
0.0000 0.5000 0.4896 Ge
0.8923 0.8923 0.7500 Ge
0.8923 0.1077 0.2500 Ge
0.0000 0.5000 0.9896 Ge
0.5000 0.0000 0.0104 Ge
0.6077 0.6077 0.2500 Ge
0.1077 0.8923 0.2500 Ge
```



First-principles (meta-GGA SCAN) data for Ba3Ge5 at its PBEsol-relaxed geometry, as listed in Alexandria.

SG: Cmcm, No. 63
Formation enthalpy at 0 K, eV/atom: -0.60

POSCAR file:
```
Ba3Ge5
1.0
6.6538 -0.0105 0.0000
-1.2042 6.5440 0.0000
0.0000 0.0000 10.2896
Ge Ba
10 6
direct
0.0660 0.0660 0.7500 Ge
0.5340 0.8954 0.2500 Ge
0.1046 0.4660 0.7500 Ge
0.7030 0.7030 0.0718 Ge
0.7030 0.7030 0.4282 Ge
0.9340 0.9340 0.2500 Ge
0.4660 0.1046 0.7500 Ge
0.8954 0.5340 0.2500 Ge
0.2970 0.2970 0.5718 Ge
0.2970 0.2970 0.9282 Ge
0.7896 0.2104 0.5000 Ba
0.7896 0.2104 0.0000 Ba
0.2104 0.7896 0.0000 Ba
0.3454 0.3454 0.2500 Ba
0.2104 0.7896 0.5000 Ba
0.6546 0.6546 0.7500 Ba
```



First-principles (meta-GGA SCAN) data for BaGeH2 at its PBEsol-relaxed geometry, as listed in Alexandria.

SG: Fm-3m, No. 225
E_tot, eV/atom: -16.274

POSCAR file:
```
BaGeH2
1.0
-4.1041 -0.8616 1.6341
-3.1710 -1.7356 -2.6812
-1.3470 -4.2563 0.5707
Ba H Ge
1 2 1
direct
0.5000 0.5000 0.5000 Ba
0.2500 0.2500 0.2500 H
0.7500 0.7500 0.7500 H
0.0000 0.0000 0.0000 Ge
```



First-principles (meta-GGA SCAN) data for Ba2HgGe2 at its PBEsol-relaxed geometry, as listed in Alexandria.

SG: P4/mbm, No. 127
Formation enthalpy at 0 K, eV/atom: -0.50

POSCAR file:
```
Ba2HgGe2
1.0
-2.0041 3.3397 -2.2052
-7.5115 -2.6129 2.8695
0.8538 4.9857 6.7748
Ba Ge Hg
4 4 2
direct
0.5000 0.3069 0.1931 Ba
0.5000 0.6931 0.8069 Ba
0.5000 0.1931 0.6931 Ba
0.5000 0.8069 0.3069 Ba
0.0000 0.9008 0.5992 Ge
0.0000 0.0992 0.4008 Ge
0.0000 0.4008 0.9008 Ge
0.0000 0.5992 0.0992 Ge
0.0000 0.0000 0.0000 Hg
0.0000 0.5000 0.5000 Hg
```



First-principles (meta-GGA SCAN) data for Ba2InReGe at its PBEsol-relaxed geometry, as listed in Alexandria.

SG: P4/mmm, No. 123
Formation enthalpy at 0 K, eV/atom: 1.19

POSCAR file:
```
Ba2InReGe
1.0
-2.7224 -2.8104 2.9221
4.6600 0.0833 4.4216
-2.5945 5.2533 2.6354
Re In Ba Ge
1 1 2 1
direct
0.5000 0.5000 0.5000 Re
0.0000 0.0000 0.0000 In
0.0000 0.0000 0.5000 Ba
0.0000 0.5000 0.0000 Ba
0.5000 0.0000 0.0000 Ge
```



First-principles (meta-GGA SCAN) data for BaTl2InGe at its PBEsol-relaxed geometry, as listed in Alexandria.

SG: P4/mmm, No. 123
Formation enthalpy at 0 K, eV/atom: 0.06

POSCAR file:
```
BaTl2InGe
1.0
-2.2770 4.5249 1.8288
-4.3963 -2.7779 1.3995
2.4229 -1.0303 5.5660
Tl Ba In Ge
2 1 1 1
direct
0.0000 0.5000 0.0000 Tl
0.5000 0.0000 0.0000 Tl
0.0000 0.0000 0.5000 Ba
0.5000 0.5000 0.5000 In
0.0000 0.0000 0.0000 Ge
```



First-principles (meta-GGA SCAN) data for Ba3GeIr at its PBEsol-relaxed geometry, as listed in Alexandria.

SG: Pm-3m, No. 221
Formation enthalpy at 0 K, eV/atom: 0.59

POSCAR file:
```
Ba3GeIr
1.0
6.0050 0.0000 0.0000
0.0000 6.0050 0.0000
0.0000 0.0000 6.0050
Ba Ge Ir
3 1 1
direct
0.0000 0.0000 0.5000 Ba
0.0000 0.5000 0.0000 Ba
0.5000 0.0000 0.0000 Ba
0.0000 0.0000 0.0000 Ge
0.5000 0.5000 0.5000 Ir
```



First-principles (meta-GGA SCAN) data for BaGe3Ir at its PBEsol-relaxed geometry, as listed in Alexandria.

SG: I4mm, No. 107
Formation enthalpy at 0 K, eV/atom: -0.62

POSCAR file:
```
BaGe3Ir
1.0
4.5259 0.0000 0.0000
0.0000 4.5259 0.0000
-2.2629 -2.2629 5.0976
Ge Ir Ba
3 1 1
direct
0.6577 0.1577 0.3153 Ge
0.1577 0.6577 0.3153 Ge
0.9995 0.9995 0.9989 Ge
0.7596 0.7596 0.5191 Ir
0.4106 0.4106 0.8212 Ba
```



First-principles (meta-GGA SCAN) data for Ba2TiGeIr at its PBEsol-relaxed geometry, as listed in Alexandria.

SG: P4/mmm, No. 123
Formation enthalpy at 0 K, eV/atom: 0.09

POSCAR file:
```
Ba2TiGeIr
1.0
-1.2207 3.7915 -2.3670
-4.1456 -3.2085 -3.0015
-4.0952 1.3270 4.2376
Ir Ge Ba Ti
1 1 2 1
direct
0.0000 0.0000 0.0000 Ir
0.5000 0.5000 0.5000 Ge
0.0000 0.0000 0.5000 Ba
0.0000 0.5000 0.0000 Ba
0.5000 0.0000 0.0000 Ti
```



First-principles (meta-GGA SCAN) data for K4BaGe3O9 at its PBEsol-relaxed geometry, as listed in Alexandria.

SG: C2, No. 5
E_form (uncorrected), eV per atom: -2.09

POSCAR file:
```
K4BaGe3O9
1.0
-4.8996 3.4428 -4.4531
-1.7656 -7.1775 1.0270
-6.1255 2.8969 9.1172
O Ge Ba K
18 6 2 8
direct
0.4606 0.9739 0.6109 O
0.0158 0.3313 0.5938 O
0.9093 0.6708 0.6159 O
0.5137 0.9462 0.9217 O
0.6546 0.3454 0.5000 O
0.9320 0.3657 0.8363 O
0.3292 0.0907 0.3841 O
0.8924 0.7097 0.9212 O
0.3347 0.5200 0.7536 O
0.0980 0.1007 0.7617 O
0.6687 0.9842 0.4062 O
0.4800 0.6653 0.2464 O
0.8993 0.9020 0.2383 O
0.6343 0.0680 0.1637 O
0.0538 0.4863 0.0783 O
0.0261 0.5394 0.3891 O
0.2903 0.1076 0.0788 O
0.6484 0.3516 0.0000 O
0.5139 0.0900 0.4765 Ge
0.9100 0.4861 0.5235 Ge
0.8976 0.4915 0.9664 Ge
0.6675 0.8895 0.2590 Ge
0.1105 0.3325 0.7410 Ge
0.5085 0.1024 0.0336 Ge
0.1829 0.8003 0.2262 Ba
0.1997 0.8171 0.7738 Ba
0.4323 0.5677 0.0000 K
0.9474 0.0526 0.0000 K
0.0052 0.9948 0.5000 K
0.4078 0.5922 0.5000 K
0.7082 0.8440 0.7497 K
0.6884 0.4226 0.2554 K
0.1560 0.2918 0.2503 K
0.5774 0.3116 0.7446 K
```



First-principles (meta-GGA SCAN) data for BaLaTlGe2 at its PBEsol-relaxed geometry, as listed in Alexandria.

SG: P4/mmm, No. 123
Formation enthalpy at 0 K, eV/atom: 0.03

POSCAR file:
```
BaLaTlGe2
1.0
5.5905 0.0000 0.0000
0.0000 5.5905 0.0000
0.0000 0.0000 5.8681
Ge Ba La Tl
2 1 1 1
direct
0.0000 0.5000 0.0000 Ge
0.5000 0.0000 0.0000 Ge
0.5000 0.5000 0.5000 Ba
0.0000 0.0000 0.0000 La
0.0000 0.0000 0.5000 Tl
```



First-principles (meta-GGA SCAN) data for BaLi2Ge2 at its PBEsol-relaxed geometry, as listed in Alexandria.

SG: I4/mmm, No. 139
Formation enthalpy at 0 K, eV/atom: -0.46

POSCAR file:
```
BaLi2Ge2
1.0
4.6468 0.0000 0.0000
0.0000 4.6468 0.0000
-2.3234 -2.3234 5.1980
Ba Ge Li
1 2 2
direct
0.0000 0.0000 0.0000 Ba
0.3846 0.3846 0.7692 Ge
0.6154 0.6154 0.2308 Ge
0.7500 0.2500 0.5000 Li
0.2500 0.7500 0.5000 Li
```



First-principles (meta-GGA SCAN) data for Ba3LiGe at its PBEsol-relaxed geometry, as listed in Alexandria.

SG: Pm-3m, No. 221
Formation enthalpy at 0 K, eV/atom: -0.14

POSCAR file:
```
Ba3LiGe
1.0
-0.3176 -6.4118 -0.2837
4.1238 0.0138 -4.9281
4.9178 -0.4256 4.1141
Ge Ba Li
1 3 1
direct
0.0000 0.0000 0.0000 Ge
0.0000 0.5000 0.0000 Ba
0.5000 0.0000 0.0000 Ba
0.0000 0.0000 0.5000 Ba
0.5000 0.5000 0.5000 Li
```



First-principles (meta-GGA SCAN) data for Ba2LiTaGe at its PBEsol-relaxed geometry, as listed in Alexandria.

SG: P4/mmm, No. 123
Formation enthalpy at 0 K, eV/atom: 0.83

POSCAR file:
```
Ba2LiTaGe
1.0
4.6782 0.0000 0.0000
0.0000 6.2387 0.0000
0.0000 0.0000 6.2387
Ba Ta Ge Li
2 1 1 1
direct
0.0000 0.5000 0.0000 Ba
0.0000 0.0000 0.5000 Ba
0.5000 0.5000 0.5000 Ta
0.0000 0.0000 0.0000 Ge
0.5000 0.0000 0.0000 Li
```



First-principles (meta-GGA SCAN) data for BaMg2Ge2 at its PBEsol-relaxed geometry, as listed in Alexandria.

SG: I4/mmm, No. 139
Formation enthalpy at 0 K, eV/atom: -0.52

POSCAR file:
```
BaMg2Ge2
1.0
-2.1856 -2.9722 -2.8019
4.0806 -1.4482 -1.6470
-0.7263 -1.7603 6.2637
Ge Mg Ba
2 2 1
direct
0.6147 0.6147 0.2295 Ge
0.3853 0.3853 0.7705 Ge
0.2500 0.7500 0.5000 Mg
0.7500 0.2500 0.5000 Mg
0.0000 0.0000 0.0000 Ba
```



First-principles (meta-GGA SCAN) data for BaMg4Ge3 at its PBEsol-relaxed geometry, as listed in Alexandria.

SG: P4/mmm, No. 123
Formation enthalpy at 0 K, eV/atom: -0.45

POSCAR file:
```
BaMg4Ge3
1.0
4.6163 0.0000 0.0000
0.0000 4.6163 0.0000
0.0000 0.0000 8.6843
Ge Mg Ba
3 4 1
direct
0.5000 0.5000 0.8534 Ge
0.5000 0.5000 0.1466 Ge
0.0000 0.0000 0.5000 Ge
0.5000 0.0000 0.6811 Mg
0.0000 0.5000 0.3189 Mg
0.5000 0.0000 0.3189 Mg
0.0000 0.5000 0.6811 Mg
0.0000 0.0000 0.0000 Ba
```



First-principles (meta-GGA SCAN) data for Ba3MgGeN4 at its PBEsol-relaxed geometry, as listed in Alexandria.

SG: Pnna, No. 52
E_form (uncorrected), eV per atom: -0.76

POSCAR file:
```
Ba3MgGeN4
1.0
-3.5705 4.3674 2.5949
-7.2100 -6.8613 1.6276
4.2124 -2.1809 9.4667
Ba Ge N Mg
12 4 16 4
direct
0.3852 0.9097 0.1557 Ba
0.8852 0.0903 0.1557 Ba
0.1148 0.9097 0.8443 Ba
0.2500 0.5908 0.0000 Ba
0.8852 0.4097 0.3443 Ba
0.6148 0.4097 0.6557 Ba
0.7500 0.4092 0.0000 Ba
0.6148 0.0903 0.8443 Ba
0.3852 0.5903 0.3443 Ba
0.2500 0.9092 0.5000 Ba
0.1148 0.5903 0.6557 Ba
0.7500 0.0908 0.5000 Ba
0.7500 0.7665 0.5000 Ge
0.7500 0.7335 0.0000 Ge
0.2500 0.2335 0.5000 Ge
0.2500 0.2665 0.0000 Ge
0.0261 0.1658 0.9170 N
0.9739 0.6658 0.4170 N
0.4739 0.3342 0.4170 N
0.8686 0.6331 0.8645 N
0.6314 0.8669 0.3645 N
0.8686 0.8669 0.6355 N
0.1314 0.1331 0.3645 N
0.5261 0.6658 0.5830 N
0.5261 0.8342 0.9170 N
0.3686 0.1331 0.6355 N
0.3686 0.3669 0.8645 N
0.6314 0.6331 0.1355 N
0.9739 0.8342 0.0830 N
0.0261 0.3342 0.5830 N
0.1314 0.3669 0.1355 N
0.4739 0.1658 0.0830 N
0.1595 0.2500 0.7500 Mg
0.6595 0.7500 0.7500 Mg
0.8405 0.7500 0.2500 Mg
0.3405 0.2500 0.2500 Mg
```



First-principles (meta-GGA SCAN) data for Ba2MgGe2O7 at its PBEsol-relaxed geometry, as listed in Alexandria.

SG: P-42_1m, No. 113
E_form (uncorrected), eV per atom: -2.59

POSCAR file:
```
Ba2MgGe2O7
1.0
-4.9909 1.7090 1.6972
0.0261 -5.8755 5.9929
3.6476 5.4053 5.2834
O Mg Ba Ge
14 2 4 4
direct
0.1641 0.5000 0.0000 O
0.8117 0.3172 0.5789 O
0.8359 0.0000 0.5000 O
0.8117 0.9211 0.1828 O
0.2711 0.8615 0.3615 O
0.1883 0.4211 0.3172 O
0.8117 0.0789 0.8172 O
0.1883 0.5789 0.6828 O
0.1883 0.1828 0.0789 O
0.2711 0.1385 0.6385 O
0.1883 0.8172 0.9211 O
0.8117 0.6828 0.4211 O
0.7289 0.3615 0.1385 O
0.7289 0.6385 0.8615 O
0.0000 0.5000 0.5000 Mg
0.0000 0.0000 0.0000 Mg
0.5092 0.6646 0.1646 Ba
0.4908 0.8354 0.6646 Ba
0.5092 0.3354 0.8354 Ba
0.4908 0.1646 0.3354 Ba
0.9582 0.1412 0.6412 Ge
0.9582 0.8588 0.3588 Ge
0.0418 0.3588 0.1412 Ge
0.0418 0.6412 0.8588 Ge
```



First-principles (meta-GGA SCAN) data for BaMn2Ge2 at its PBEsol-relaxed geometry, as listed in Alexandria.

SG: I4/mmm, No. 139
Formation enthalpy at 0 K, eV/atom: -0.40

POSCAR file:
```
BaMn2Ge2
1.0
4.0234 0.0000 0.0000
0.0000 4.0234 0.0000
-2.0117 -2.0117 6.2356
Mn Ba Ge
2 1 2
direct
0.2500 0.7500 0.5000 Mn
0.7500 0.2500 0.5000 Mn
0.0000 0.0000 0.0000 Ba
0.3537 0.3537 0.7074 Ge
0.6463 0.6463 0.2926 Ge
```



First-principles (meta-GGA SCAN) data for BaZrGeMo2 at its PBEsol-relaxed geometry, as listed in Alexandria.

SG: P4/mmm, No. 123
Formation enthalpy at 0 K, eV/atom: 2.74

POSCAR file:
```
BaZrGeMo2
1.0
4.8774 0.0000 0.0000
0.0000 4.8774 0.0000
0.0000 0.0000 5.2315
Ge Mo Ba Zr
1 2 1 1
direct
0.5000 0.5000 0.5000 Ge
0.0000 0.5000 0.0000 Mo
0.5000 0.0000 0.0000 Mo
0.0000 0.0000 0.0000 Ba
0.0000 0.0000 0.5000 Zr
```